Entry 1:
DFT (PBE-GGA) results for a relaxed CrCoIr4 crystal.

Output
- magnetization (μB per formula unit) = 0.8
- electronic total energy (eV per atom) = -8.6080
- offset from the most stable computed form (eV per atom) = 0.0000
- DFT formation energy (eV/atom) = 0.088

a = 8.3696 Å, b = 5.1601 Å, c = 5.1601 Å
α = 116.61°, β = 63.49°, γ = 116.51°
Each line ends with the local moment (μB).
Sites, in units of the cell vectors:
Cr1 0.5000 0.2500 0.2500  1.63
Cr2 0.0000 0.0000 0.0000  1.63
Co1 0.0000 0.5000 0.5000  -0.62
Co2 0.5000 0.7500 0.7500  -0.62
Ir1 0.8048 0.1508 0.8452  -0.07
Ir2 0.8048 0.6540 0.3500  -0.07
Ir3 0.1952 0.8452 0.1508  -0.07
Ir4 0.1952 0.3500 0.6540  -0.07
Ir5 0.3048 0.9000 0.5960  -0.07
Ir6 0.3048 0.4048 0.0992  -0.07
Ir7 0.6952 0.5960 0.9000  -0.07
Ir8 0.6952 0.0992 0.4048  -0.07

---

Entry 2:
DFT (PBE-GGA) results for a relaxed AgOsPb crystal.

Output
- magnetization (μB per formula unit) = 0.0
- electronic total energy (eV per atom) = -5.0167
- offset from the most stable computed form (eV per atom) = 0.0000
- DFT formation energy (eV/atom) = 0.913

a = 4.7743 Å, b = 4.7743 Å, c = 2.9335 Å
α = 90.00°, β = 90.00°, γ = 120.00°
Sites, in units of the cell vectors:
Pb1 0.3333 0.6667 0.5023
Os1 0.6667 0.3333 0.4984
Ag1 0.0000 0.0000 0.9993

---

Entry 3:
DFT (PBE-GGA) results for a relaxed AcTlRu2O7 crystal.

Output
- formation energy (no corrections) (meV/atom) = -1413.3
- magnetization (μB per formula unit) = 5.0
- electronic total energy (eV per atom) = -6.8436

a = 3.9465 Å, b = 3.9465 Å, c = 11.5189 Å
α = 99.86°, β = 99.86°, γ = 90.00°
Each line ends with the local moment (μB).
Sites, in units of the cell vectors:
Ac1 0.5000 0.5000 0.0000  0.02
Tl1 0.2500 0.7500 0.5000  0.02
Ru1 0.9033 0.9033 0.8066  1.57
Ru2 0.0967 0.0967 0.1934  1.57
O1 0.0832 0.5832 0.1665  0.13
O2 0.0000 0.0000 0.0000  0.09
O3 0.4168 0.9168 0.8335  0.13
O4 0.8221 0.8221 0.6441  0.35
O5 0.5816 0.0816 0.1631  0.13
O6 0.1779 0.1779 0.3559  0.35
O7 0.9184 0.4184 0.8369  0.13

---

Entry 4:
DFT (PBE-GGA) results for a relaxed CrCoNi2 crystal.

Output
- magnetization (μB per formula unit) = 0.2
- electronic total energy (eV per atom) = -7.0418
- DFT formation energy (eV/atom) = 0.031

a = 4.3769 Å, b = 4.3769 Å, c = 4.3769 Å
α = 133.05°, β = 133.05°, γ = 68.58°
Each line ends with the local moment (μB).
Sites, in units of the cell vectors:
Ni1 0.0000 0.0000 0.0000  -0.15
Ni2 0.5000 0.5000 0.0000  -0.15
Co1 0.2500 0.7500 0.5000  -1.03
Cr1 0.7500 0.2500 0.5000  1.50